Compound: HfTi2Te4
Source: Alexandria via LeMat-Bulk
Functional: GGA-PBE
Structure: optimized geometry

a = 7.6343 Å, b = 7.6343 Å, c = 7.9251 Å
α = 104.70°, β = 104.70°, γ = 116.88°
Fractional positions:
Hf 0.1256 0.8744 0.5000
Hf 0.8744 0.1256 0.0000
Ti 0.1320 0.8897 0.0447
Ti 0.4411 0.7041 0.5682
Ti 0.7041 0.4411 0.0682
Ti 0.8897 0.1320 0.5447
Te 0.1120 0.6044 0.7038
Te 0.1440 0.6007 0.1917
Te 0.1885 0.2141 0.3689
Te 0.2141 0.1885 0.8689
Te 0.6007 0.1440 0.6917
Te 0.6044 0.1120 0.2038
Te 0.6762 0.6851 0.3626
Te 0.6851 0.6762 0.8626

Calculated values
spin magnetization: 1.62 μB/f.u.
energy relative to the elements, uncorrected: -4.8 eV per formula unit
DOS(E_F): 0.783 states/eV/atom
symmetry: Cc

***

Compound: ScCd2Pt
Source: Alexandria via LeMat-Bulk
Functional: GGA-PBE
Structure: optimized geometry

a = 9.8094 Å, b = 9.8094 Å, c = 9.8094 Å
α = 18.19°, β = 18.19°, γ = 18.19°
Fractional positions:
Sc 0.0000 0.0000 0.0000
Cd 0.2441 0.2441 0.2441
Cd 0.7559 0.7559 0.7559
Pt 0.5000 0.5000 0.5000

Calculated values
spin magnetization: 0.00 μB/f.u.
DOS(E_F): 0.672 states/eV/atom
ΔE_f: -138 meV/atom
symmetry: R-3m

***

Compound: HgMoSe2
Source: Alexandria via LeMat-Bulk
Functional: GGA-PBE
Structure: optimized geometry

a = 3.3007 Å, b = 3.3007 Å, c = 10.0697 Å
α = 98.88°, β = 98.88°, γ = 59.99°
Fractional positions:
Hg 0.0000 0.0000 0.0000
Mo 0.5000 0.5000 0.5000
Se 0.2211 0.2211 0.6736
Se 0.7789 0.7789 0.3264

Calculated values
spin magnetization: 0.00 μB/f.u.
energy relative to the elements, uncorrected: -1.3 eV per formula unit
DOS(E_F): 0.268 states/eV/atom
symmetry: C2/m

***

Compound: LiAc2HoSe4
Source: Alexandria via LeMat-Bulk
Functional: GGA-PBE
Structure: optimized geometry

a = 7.3268 Å, b = 4.2732 Å, c = 7.4105 Å
α = 90.00°, β = 109.59°, γ = 90.00°
Fractional positions:
Li 0.0000 0.0000 0.0000
Ac 0.5000 0.0000 0.5000
Ac 0.5000 0.5000 0.0000
Ho 0.0000 0.5000 0.5000
Se 0.2190 0.0000 0.7427
Se 0.2201 0.5000 0.2397
Se 0.7799 0.5000 0.7603
Se 0.7810 0.0000 0.2573

Calculated values
spin magnetization: 0.00 μB/f.u.
energy relative to the elements, uncorrected: -13.9 eV per formula unit
DOS(E_F): 0.376 states/eV/atom
symmetry: P2/m

***

Please write out number 4 again, unchanged.
Compound: LiAc2HoSe4
Source: Alexandria via LeMat-Bulk
Functional: GGA-PBE
Structure: optimized geometry

a = 7.3268 Å, b = 4.2732 Å, c = 7.4105 Å
α = 90.00°, β = 109.59°, γ = 90.00°
Fractional positions:
Li 0.0000 0.0000 0.0000
Ac 0.5000 0.0000 0.5000
Ac 0.5000 0.5000 0.0000
Ho 0.0000 0.5000 0.5000
Se 0.2190 0.0000 0.7427
Se 0.2201 0.5000 0.2397
Se 0.7799 0.5000 0.7603
Se 0.7810 0.0000 0.2573

Calculated values
spin magnetization: 0.00 μB/f.u.
energy relative to the elements, uncorrected: -13.9 eV per formula unit
DOS(E_F): 0.376 states/eV/atom
symmetry: P2/m